--- 1 ---
Density functional theory data (PBE) for a relaxed AcPrBi2 crystal.

abc: 4.7040 4.7040 8.5923
angles: 74.11 74.11 60.00
Positions (direct):
Bi 0.2471 0.2471 0.2587
Bi 0.0861 0.0861 0.7416
Pr 0.4980 0.4980 0.5059
Ac 0.6687 0.6687 0.9938

***

--- 2 ---
Density functional theory data (PBE) for a relaxed AcPrBi2 crystal.

abc: 3.5762 6.1639 6.1639
angles: 90.00 90.00 90.00
Positions (direct):
Bi 0.0000 0.0000 0.5000
Bi 0.0000 0.5000 0.0000
Pr 0.5000 0.0000 0.0000
Ac 0.5000 0.5000 0.5000

***

Least stable of them? 2.

***

--- 1 ---
Density functional theory data (PBE) for a relaxed AcPr3Bi3 crystal.

abc: 9.7388 9.7388 8.6044
angles: 55.53 55.53 60.00
Positions (direct):
Pr 0.3495 0.8188 0.7425
Pr 0.1812 0.9109 0.2575
Pr 0.8188 0.0891 0.7425
Pr 0.6505 0.1812 0.2575
Pr 0.0891 0.3495 0.7425
Pr 0.9109 0.6505 0.2575
Bi 0.7066 0.4616 0.7531
Bi 0.5384 0.9213 0.2469
Bi 0.9213 0.2934 0.2469
Bi 0.0787 0.7066 0.7531
Bi 0.2934 0.5384 0.2469
Bi 0.4616 0.0787 0.7531
Ac 0.6662 0.6662 0.0013
Ac 0.3338 0.3338 0.9987

***

--- 2 ---
Density functional theory data (PBE) for a relaxed AcPr3Bi3 crystal.

abc: 9.8971 9.8971 9.8971
angles: 90.00 90.00 90.00
Positions (direct):
Bi 0.7567 0.3808 0.5021
Bi 0.4979 0.2567 0.1192
Bi 0.0021 0.7433 0.6192
Bi 0.9979 0.2433 0.8808
Bi 0.2433 0.8808 0.9979
Bi 0.5021 0.7567 0.3808
Bi 0.6192 0.0021 0.7433
Bi 0.7433 0.6192 0.0021
Bi 0.2567 0.1192 0.4979
Bi 0.8808 0.9979 0.2433
Bi 0.3808 0.5021 0.7567
Bi 0.1192 0.4979 0.2567
Pr 0.1791 0.1791 0.1791
Pr 0.3209 0.8209 0.6791
Pr 0.0743 0.4257 0.5743
Pr 0.6817 0.6817 0.6817
Pr 0.8183 0.3183 0.1817
Pr 0.6791 0.3209 0.8209
Pr 0.4257 0.5743 0.0743
Pr 0.9257 0.9257 0.9257
Pr 0.3183 0.1817 0.8183
Pr 0.5743 0.0743 0.4257
Pr 0.1817 0.8183 0.3183
Pr 0.8209 0.6791 0.3209
Ac 0.5700 0.9300 0.0700
Ac 0.9300 0.0700 0.5700
Ac 0.4300 0.4300 0.4300
Ac 0.0700 0.5700 0.9300

***

Least stable of them? 1.

***

--- 1 ---
Density functional theory data (PBE) for a relaxed Ac3PrBi4 crystal.

abc: 6.8243 6.8243 6.8243
angles: 90.00 90.00 90.00
Positions (direct):
Ac 0.5000 0.0000 0.5000
Ac 0.0000 0.5000 0.5000
Ac 0.5000 0.5000 0.0000
Bi 0.0000 0.5000 0.0000
Bi 0.0000 0.0000 0.5000
Bi 0.5000 0.0000 0.0000
Bi 0.5000 0.5000 0.5000
Pr 0.0000 0.0000 0.0000

***

--- 2 ---
Density functional theory data (PBE) for a relaxed Ac3PrBi4 crystal.

abc: 4.8265 8.3509 8.3509
angles: 109.45 90.00 90.00
Positions (direct):
Ac 0.0000 0.0000 0.5000
Ac 0.0000 0.5000 0.0000
Ac 0.5000 0.5000 0.5000
Pr 0.5000 0.0000 0.0000
Bi 0.5000 0.2456 0.7544
Bi 0.0000 0.2418 0.2418
Bi 0.0000 0.7582 0.7582
Bi 0.5000 0.7544 0.2456

***

Least stable of them? 1.

***

--- 1 ---
Density functional theory data (PBE) for a relaxed AcPr3Bi4 crystal.

abc: 4.7054 8.1464 8.1464
angles: 109.43 90.00 90.00
Positions (direct):
Pr 0.0000 0.5000 0.0000
Pr 0.5000 0.5000 0.5000
Pr 0.0000 0.0000 0.5000
Bi 0.5000 0.7460 0.2540
Bi 0.5000 0.2540 0.7460
Bi 0.0000 0.2584 0.2584
Bi 0.0000 0.7416 0.7416
Ac 0.5000 0.0000 0.0000

***

--- 2 ---
Density functional theory data (PBE) for a relaxed AcPr3Bi4 crystal.

abc: 6.6539 6.6539 6.6539
angles: 90.00 90.00 90.00
Positions (direct):
Bi 0.5000 0.5000 0.5000
Bi 0.5000 0.0000 0.0000
Bi 0.0000 0.5000 0.0000
Bi 0.0000 0.0000 0.5000
Pr 0.5000 0.5000 0.0000
Pr 0.5000 0.0000 0.5000
Pr 0.0000 0.5000 0.5000
Ac 0.0000 0.0000 0.0000

***

Least stable of them? 2.

***

--- 1 ---
Density functional theory data (PBE) for a relaxed Ac2PrBi crystal.

abc: 4.4396 4.4396 7.8487
angles: 90.00 90.00 90.00
Positions (direct):
Ac 0.0000 0.0000 0.2746
Ac 0.0000 0.0000 0.7254
Pr 0.5000 0.5000 0.0000
Bi 0.5000 0.5000 0.5000

***

--- 2 ---
Density functional theory data (PBE) for a relaxed Ac2PrBi crystal.

abc: 5.2108 5.2791 5.2791
angles: 90.00 90.00 90.00
Positions (direct):
Bi 0.5000 0.0000 0.0000
Pr 0.5000 0.5000 0.5000
Ac 0.0000 0.5000 0.0000
Ac 0.0000 0.0000 0.5000

***

--- 3 ---
Density functional theory data (PBE) for a relaxed Ac2PrBi crystal.

abc: 4.2589 4.2589 12.0254
angles: 79.80 79.80 60.00
Positions (direct):
Bi 0.5000 0.5000 0.5000
Ac 0.8963 0.8963 0.3112
Ac 0.1037 0.1037 0.6888
Pr 0.0000 0.0000 0.0000

***

Least stable of them? 3.

***

--- 1 ---
Density functional theory data (PBE) for a relaxed AcBiPt crystal.

abc: 4.4946 4.7547 4.7547
angles: 120.00 90.00 90.00
Positions (direct):
Pt 0.2280 0.6667 0.3333
Ac 0.6403 0.3333 0.6667
Bi 0.1317 0.0000 0.0000

***

--- 2 ---
Density functional theory data (PBE) for a relaxed AcBiPt crystal.

abc: 4.2268 5.1454 8.3188
angles: 90.00 90.00 90.00
Positions (direct):
Ac 0.3116 0.2161 0.6903
Ac 0.3116 0.7161 0.1026
Bi 0.8117 0.7161 0.4996
Bi 0.8116 0.2161 0.2933
Pt 0.8116 0.2163 0.9523
Pt 0.8116 0.7163 0.8406

***

Least stable of them? 2.

***

--- 1 ---
Density functional theory data (PBE) for a relaxed Ac3BiPt crystal.

abc: 4.6296 9.1225 17.5988
angles: 90.00 90.00 90.00
Positions (direct):
Pt 0.7500 0.7878 0.0425
Pt 0.2500 0.7122 0.5425
Pt 0.2500 0.2122 0.9575
Pt 0.7500 0.2878 0.4575
Bi 0.2500 0.8743 0.2997
Bi 0.2500 0.3743 0.2003
Bi 0.7500 0.1257 0.7003
Bi 0.7500 0.6257 0.7997
Ac 0.7500 0.5100 0.5969
Ac 0.2500 0.8371 0.7059
Ac 0.2500 0.3371 0.7941
Ac 0.2500 0.4900 0.4031
Ac 0.7500 0.1629 0.2941
Ac 0.7500 0.3462 0.0467
Ac 0.2500 0.1538 0.5467
Ac 0.7500 0.6629 0.2059
Ac 0.7500 0.0100 0.9031
Ac 0.7500 0.8462 0.4533
Ac 0.2500 0.9900 0.0969
Ac 0.2500 0.6538 0.9533

***

--- 2 ---
Density functional theory data (PBE) for a relaxed Ac3BiPt crystal.

abc: 5.8985 5.8985 5.8985
angles: 90.00 90.00 90.00
Positions (direct):
Ac 0.0000 0.5000 0.0000
Ac 0.5000 0.0000 0.0000
Ac 0.0000 0.0000 0.5000
Bi 0.5000 0.5000 0.5000
Pt 0.0000 0.0000 0.0000

***

Least stable of them? 2.

***

--- 1 ---
Density functional theory data (PBE) for a relaxed Ac3PuBi4 crystal.

abc: 4.8116 8.3207 8.3207
angles: 109.48 90.00 90.00
Positions (direct):
Ac 0.0000 0.5000 0.0000
Ac 0.5000 0.5000 0.5000
Ac 0.0000 0.0000 0.5000
Bi 0.5000 0.2434 0.7566
Bi 0.0000 0.2367 0.2367
Bi 0.5000 0.7566 0.2434
Bi 0.0000 0.7633 0.7633
Pu 0.5000 0.0000 0.0000

***

--- 2 ---
Density functional theory data (PBE) for a relaxed Ac3PuBi4 crystal.

abc: 6.8155 6.8155 6.8155
angles: 90.00 90.00 90.00
Positions (direct):
Bi 0.5000 0.0000 0.0000
Bi 0.0000 0.5000 0.0000
Bi 0.5000 0.5000 0.5000
Bi 0.0000 0.0000 0.5000
Ac 0.5000 0.0000 0.5000
Ac 0.5000 0.5000 0.0000
Ac 0.0000 0.5000 0.5000
Pu 0.0000 0.0000 0.0000

***

Least stable of them? 2.

***

--- 1 ---
Density functional theory data (PBE) for a relaxed RbAcBi2 crystal.

abc: 5.2273 5.2273 8.6378
angles: 72.39 72.39 60.00
Positions (direct):
Rb 0.5000 0.5000 0.5000
Bi 0.2687 0.2687 0.1939
Bi 0.7313 0.7313 0.8061
Ac 0.0000 0.0000 0.0000

***

--- 2 ---
Density functional theory data (PBE) for a relaxed RbAcBi2 crystal.

abc: 4.7123 5.6415 5.6415
angles: 90.00 90.00 90.00
Positions (direct):
Rb 0.5000 0.5000 0.5000
Bi 0.0000 0.5000 0.0000
Bi 0.0000 0.0000 0.5000
Ac 0.5000 0.0000 0.0000

***

--- 3 ---
Density functional theory data (PBE) for a relaxed RbAcBi2 crystal.

abc: 6.0129 6.0129 6.0129
angles: 60.00 60.00 60.00
Positions (direct):
Rb 0.5000 0.5000 0.5000
Bi 0.7500 0.7500 0.7500
Bi 0.2500 0.2500 0.2500
Ac 0.0000 0.0000 0.0000

***

--- 4 ---
Density functional theory data (PBE) for a relaxed RbAcBi2 crystal.

abc: 4.5445 4.5445 8.1167
angles: 90.00 90.00 90.00
Positions (direct):
Ac 0.5000 0.5000 0.0000
Bi 0.0000 0.0000 0.8063
Bi 0.0000 0.0000 0.1937
Rb 0.5000 0.5000 0.5000

***

Least stable of them? 1.

***

--- 1 ---
Density functional theory data (PBE) for a relaxed AcBi2Rh crystal.

abc: 5.4012 5.4012 5.4012
angles: 60.00 60.00 60.00
Positions (direct):
Bi 0.2500 0.2500 0.2500
Bi 0.7500 0.7500 0.7500
Rh 0.0000 0.0000 0.0000
Ac 0.5000 0.5000 0.5000

***

--- 2 ---
Density functional theory data (PBE) for a relaxed AcBi2Rh crystal.

abc: 6.1811 6.3058 7.3833
angles: 78.54 65.25 61.68
Positions (direct):
Ac 0.1476 0.7500 0.7048
Ac 0.8524 0.2500 0.2952
Bi 0.5813 0.8778 0.2033
Bi 0.7847 0.3778 0.7967
Bi 0.4187 0.1222 0.7967
Bi 0.2153 0.6222 0.2033
Rh 0.2671 0.2500 0.4657
Rh 0.7329 0.7500 0.5343

***

--- 3 ---
Density functional theory data (PBE) for a relaxed AcBi2Rh crystal.

abc: 3.6197 3.6197 8.3389
angles: 90.00 90.00 90.00
Positions (direct):
Rh 0.5000 0.5000 0.0000
Bi 0.0000 0.0000 0.8070
Bi 0.0000 0.0000 0.1930
Ac 0.5000 0.5000 0.5000

***

Least stable of them? 1.

***

--- 1 ---
Density functional theory data (PBE) for a relaxed AcBi2Rh crystal.

abc: 4.9659 4.7469 4.7469
angles: 90.00 90.00 90.00
Positions (direct):
Bi 0.0000 0.0000 0.5000
Bi 0.0000 0.5000 0.0000
Ac 0.5000 0.0000 0.0000
Rh 0.5000 0.5000 0.5000

***

--- 2 ---
Density functional theory data (PBE) for a relaxed AcBi2Rh crystal.

abc: 4.5658 4.5658 6.9101
angles: 70.71 70.71 60.00
Positions (direct):
Bi 0.7240 0.7240 0.8280
Bi 0.2760 0.2760 0.1720
Rh 0.0000 0.0000 0.0000
Ac 0.5000 0.5000 0.5000

***

Least stable of them? 1.